Below is crystalline CoP2Au at its relaxed geometry, with properties calculated at the PBE-GGA level.

Calculated values
Size of the total moment (μB/cell): 0.174
Calculated formation energy (eV/atom): 0.46
Polymorph energy (0 for the lowest one) (meV/atom): 626

Structure (POSCAR):
```
CoP2Au
1.0
4.325 0.000 0.000
2.162 3.745 0.000
2.162 1.248 3.531
P Au Co
2 1 1
direct
0.750 0.750 0.750
0.250 0.250 0.250
0.000 0.000 0.000
0.500 0.500 0.500
```

***

Below is crystalline Co2PAu at its relaxed geometry, with properties calculated at the PBE-GGA level.

Calculated values
Size of the total moment (μB/cell): 0.000
Calculated formation energy (eV/atom): -0.14
Polymorph energy (0 for the lowest one) (meV/atom): 0

Structure (POSCAR):
```
Co2PAu
1.0
3.403 0.000 0.000
1.702 2.947 0.000
1.702 0.983 5.502
Co P Au
2 1 1
direct
0.471 0.471 0.586
0.029 0.029 0.914
0.750 0.750 0.750
0.250 0.250 0.250
```

***

Below is crystalline CoP2Au at its relaxed geometry, with properties calculated at the PBE-GGA level.

Calculated values
Size of the total moment (μB/cell): 0.000
Calculated formation energy (eV/atom): 0.04
Polymorph energy (0 for the lowest one) (meV/atom): 205

Structure (POSCAR):
```
CoP2Au
1.0
3.666 0.000 0.000
0.000 4.361 -0.122
0.000 -1.120 4.322
Au P Co
1 2 1
direct
0.500 0.250 0.250
0.000 0.458 0.656
0.000 0.042 0.844
0.500 0.750 0.750
```